(1)
# Pm2NbGeN5 PBE relaxed
data_Pm2NbGeN5
_cell_length_a 3.246
_cell_length_b 14.552
_cell_length_c 10.085
_cell_angle_alpha 90.00
_cell_angle_beta 90.00
_cell_angle_gamma 90.00
_symmetry_space_group_name_H-M 'C m c 21'
_symmetry_Int_Tables_number 36
loop_
_symmetry_equiv_pos_as_xyz
'x,y,z'
'-x,-y,z+1/2'
'-x,y,z'
'x,-y,z+1/2'
'x+1/2,y+1/2,z'
'-x+1/2,-y+1/2,z+1/2'
'-x+1/2,y+1/2,z'
'x+1/2,-y+1/2,z+1/2'
loop_
_atom_site_label
_atom_site_type_symbol
_atom_site_fract_x
_atom_site_fract_y
_atom_site_fract_z
_atom_site_occupancy
Pm1 Pm 0.000 0.111 0.000 1
Pm2 Pm 0.000 0.124 0.611 1
Nb1 Nb 0.000 0.221 0.325 1
Ge1 Ge 0.000 0.450 0.765 1
N1 N 0.000 0.046 0.363 1
N2 N 0.000 0.287 0.961 1
N3 N 0.000 0.320 0.688 1
N4 N 0.000 0.351 0.309 1
N5 N 0.000 0.499 0.097 1
# * formation energy from raw total energies: -0.93 eV per atom
# * crystal system: orthorhombic
# * calculated total energy: -0.606 Ry per atom

=====

(2)
# Tb5Pm12Pr2 PBE relaxed
data_Tb5Pm12Pr2
_cell_length_a 16.162
_cell_length_b 10.141
_cell_length_c 7.998
_cell_angle_alpha 90.00
_cell_angle_beta 90.66
_cell_angle_gamma 90.00
_symmetry_space_group_name_H-M 'C 1 2/m 1'
_symmetry_Int_Tables_number 12
loop_
_symmetry_equiv_pos_as_xyz
'x,y,z'
'-x,-y,-z'
'-x,y,-z'
'x,-y,z'
'x+1/2,y+1/2,z'
'-x+1/2,-y+1/2,-z'
'-x+1/2,y+1/2,-z'
'x+1/2,-y+1/2,z'
loop_
_atom_site_label
_atom_site_type_symbol
_atom_site_fract_x
_atom_site_fract_y
_atom_site_fract_z
_atom_site_occupancy
Tb1 Tb 0.000 0.000 0.000 1
Tb2 Tb 0.147 0.500 0.582 1
Tb3 Tb 0.248 0.000 0.990 1
Pm1 Pm 0.051 0.500 0.210 1
Pm2 Pm 0.106 0.274 0.890 1
Pm3 Pm 0.161 0.000 0.623 1
Pm4 Pm 0.193 0.231 0.293 1
Pr1 Pr 0.000 0.221 0.500 1
# * crystal system: monoclinic
# * energy above the lowest structure with this stoichiometry: 0.000 eV per atom
# * energy of formation from the pure elements: 0.12 eV/atom
# * calculated total energy: -0.338 Ry per atom

=====

(3)
# Nd2Ni9Rh PBE relaxed
data_Nd2Ni9Rh
_cell_length_a 4.9432
_cell_length_b 4.9432
_cell_length_c 24.3102
_cell_angle_alpha 90.00
_cell_angle_beta 90.00
_cell_angle_gamma 120.00
_symmetry_space_group_name_H-M 'R -3 m'
_symmetry_Int_Tables_number 166
_symmetry_space_group_name_Hall '-R 3 2"'
loop_
_atom_site_label
_atom_site_type_symbol
_atom_site_fract_x
_atom_site_fract_y
_atom_site_fract_z
_atom_site_occupancy
Nd1 Nd 0.0000 0.0000 0.1322 1
Ni1 Ni 0.0000 0.0000 0.3328 1
Ni2 Ni 0.0000 0.0000 0.5000 1
Ni3 Ni 0.0007 0.5003 0.0792 1
Rh1 Rh 0.0000 0.0000 0.0000 1
# * crystal system: trigonal
# * energy of formation from the pure elements: -0.06 eV/atom
# * calculated total energy: -0.427 Ry per atom